Pm2MgPa: optimized geometry, PBE.

Computed properties:
Density (g cm⁻³): 7.84
Density of states at the Fermi level (states/eV/f.u.): 8.55
Formation enthalpy at 0 K (meV per atom): 337.9
Total DFT energy (no corrections) (eV/atom): -4.810
Excess energy over the best structure of this formula in the dataset (kJ per mole of atoms): 24.8

```
data_Pm2MgPa
_cell_length_a 7.731
_cell_length_b 7.731
_cell_length_c 7.731
_cell_angle_alpha 90.00
_cell_angle_beta 90.00
_cell_angle_gamma 90.00
_symmetry_space_group_name_H-M 'F m -3 m'
_symmetry_Int_Tables_number 225
_symmetry_space_group_name_Hall '-F 4 2 3'
loop_
_atom_site_label
_atom_site_type_symbol
_atom_site_fract_x
_atom_site_fract_y
_atom_site_fract_z
_atom_site_occupancy
Pm1 Pm 0.250 0.250 0.250 1
Mg1 Mg 0.000 0.000 0.000 1
Pa1 Pa 0.000 0.000 0.500 1
```